This record from Alexandria describes La2InIr after structural relaxation. The functional is PBE.

```
8
Lattice="2.054 -7.575 0.000 2.054 7.575 0.000 0.000 0.000 7.479" Properties=species:S:1:pos:R:3 pbc="T T T"
La 2.054 5.415 0.001
La 2.054 5.415 3.739
La 2.054 -5.415 7.478
La 2.054 -5.415 3.740
In 2.054 0.034 5.609
In 2.054 -0.034 1.870
Ir 2.054 2.923 5.609
Ir 2.054 -2.923 1.870
```

Formation energy = -0.649 eV per atom
Crystal system = orthorhombic
DFT total energy = -6.013 eV/atom
Space group = Cmcm (63)
Fermi-level density of states = 6.74 states/eV/cell